DFT (meta-GGA SCAN) results for a PBEsol-optimized structure of Ca3Al.

Properties
N(E_F) ... 0.90 states/eV per atom
Total magnetic moment ... 1.0 μB per formula unit
Formation energy ... 15 meV/atom

a = 6.274 Å, b = 6.274 Å, c = 6.274 Å
α = 90.00°, β = 90.00°, γ = 90.00°
Atoms (fractional coordinates):
1 Ca 0.000 0.250 0.500
2 Ca 0.000 0.750 0.500
3 Ca 0.250 0.500 0.000
4 Ca 0.500 0.000 0.250
5 Ca 0.500 0.000 0.750
6 Ca 0.750 0.500 0.000
7 Al 0.000 0.000 0.000
8 Al 0.500 0.500 0.500